{"formula": "ScMnC", "functional": "PBE", "state": "optimized geometry", "e_tot_ev_per_cell": -51.3, "space_group": "C2/m (12)", "formation_energy_mev_per_atom": -303, "relative_energy_kj_per_mol_fu": 0.0, "cell": [[4.462, -1.510, 0.000], [4.462, 1.510, 0.000], [-3.208, 0.000, 5.136]], "species": ["Sc", "Sc", "Mn", "Mn", "C", "C"], "fractional_positions": [[0.075, 0.075, 0.350], [0.925, 0.925, 0.650], [0.320, 0.320, 0.928], [0.680, 0.680, 0.072], [0.319, 0.319, 0.276], [0.681, 0.681, 0.724]]}